Record 1
InSiRuO PBE optimized geometry; ΔE_f (raw) = -598 meV/atom; space group = Pmm2, No. 25; theoretical density = 6.67 g/cm³; uncorrected energy = -24.79 eV per formula unit; excess energy over the best structure of this formula in the dataset = 1.56 eV/f.u.
1.0
2.778 0.000 0.000
0.000 4.679 0.000
0.000 0.000 4.983
In Si Ru O
1 1 1 1
Cartesian
0.000 0.000 0.000
1.389 2.339 3.193
1.389 0.000 2.408
0.000 2.339 4.302



Record 2
RhSeF2 PBE optimized geometry; ΔE_f (raw) = -535 meV/atom; space group = I-42d, No. 122; theoretical density = 4.55 g/cm³; uncorrected energy = -16.72 eV per formula unit; excess energy over the best structure of this formula in the dataset = 0.12 eV/f.u.
1.0
-4.141 4.141 2.340
4.141 -4.141 2.340
4.141 4.141 -2.340
Rh Se F
2 2 4
Cartesian
0.000 0.000 0.000
0.000 4.141 1.170
4.141 0.000 1.170
0.000 0.000 2.340
0.215 2.070 0.585
-2.070 3.925 1.755
-0.215 6.211 0.585
2.070 4.356 1.755



Record 3
SrMnCd PBE optimized geometry; calculated formation energy = 0.4314 eV/atom; space group = F-43m, No. 216; theoretical density = 4.77 g/cm³; uncorrected energy = -10.47 eV per formula unit; excess energy over the best structure of this formula in the dataset = 0.66 eV/f.u.
1.0
0.000 3.542 3.542
3.542 0.000 3.542
3.542 3.542 0.000
Sr Mn Cd
1 1 1
Cartesian
0.000 0.000 0.000
5.312 5.312 5.312
3.542 3.542 3.542



Record 4
Rb2Se2O5 PBE optimized geometry; ΔE_f (raw) = -1016 meV/atom; space group = C2/m, No. 12; theoretical density = 4.04 g/cm³; uncorrected energy = -42.84 eV per formula unit; excess energy over the best structure of this formula in the dataset = 2.28 eV/f.u.
1.0
6.423 -2.072 0.000
6.423 2.072 0.000
-2.127 0.000 6.322
Rb Se O
2 2 5
Cartesian
0.297 0.000 2.171
10.422 0.000 4.151
4.431 0.000 0.276
6.288 0.000 6.046
2.208 0.000 0.039
4.436 0.000 1.956
6.423 0.000 0.000
6.284 0.000 4.366
8.511 0.000 6.283



Record 5
TiVCuPd PBE optimized geometry; calculated formation energy = -0.1255 eV/atom; space group = F-43m, No. 216; theoretical density = 7.73 g/cm³; uncorrected energy = -26.80 eV per formula unit
1.0
0.000 3.067 3.067
3.067 0.000 3.067
3.067 3.067 0.000
Ti V Cu Pd
1 1 1 1
Cartesian
0.000 0.000 0.000
4.601 4.601 4.601
3.067 3.067 3.067
1.534 1.534 1.534



Record 6
K4CaPb PBE optimized geometry; calculated formation energy = 0.2249 eV/atom; space group = F-43m, No. 216; theoretical density = 2.29 g/cm³; uncorrected energy = -8.75 eV per formula unit
1.0
0.000 5.273 5.273
5.273 0.000 5.273
5.273 5.273 0.000
K Ca Pb
4 1 1
Cartesian
1.303 1.303 1.303
3.971 3.971 1.303
3.971 1.303 3.971
1.303 3.971 3.971
5.273 5.273 5.273
7.910 7.910 7.910



Record 7
Sc4Tl2InPd PBE optimized geometry; calculated formation energy = -0.4250 eV/atom; space group = R-3m, No. 166; theoretical density = 7.70 g/cm³; uncorrected energy = -41.39 eV per formula unit
1.0
2.492 1.439 8.112
-2.492 1.439 8.112
0.000 -2.878 8.112
Sc Tl In Pd
4 2 1 1
Cartesian
0.000 0.000 2.903
0.000 0.000 9.039
0.000 0.000 15.298
0.000 0.000 21.434
0.000 0.000 6.082
0.000 0.000 18.254
0.000 0.000 12.168
0.000 0.000 0.000



Record 8
Tb2PmPr6Ho3 PBE optimized geometry; calculated formation energy = 0.0119 eV/atom; space group = C2/m, No. 12; theoretical density = 7.37 g/cm³; uncorrected energy = -56.28 eV per formula unit
1.0
3.159 -5.474 0.000
3.159 5.474 0.000
-2.103 0.000 11.745
Tb Pm Pr Ho
2 1 6 3
Cartesian
3.159 3.651 0.000
3.159 -3.651 0.000
3.159 0.000 0.000
-0.002 1.827 8.786
1.055 0.000 2.959
-0.002 -1.827 8.786
4.218 1.827 2.959
3.161 0.000 8.786
4.218 -1.827 2.959
-1.051 0.000 5.873
2.108 1.826 5.873
2.108 -1.826 5.873



Record 9
Dy4MgHg5 PBE optimized geometry; calculated formation energy = -0.4404 eV/atom; space group = P4/mmm, No. 123; theoretical density = 11.21 g/cm³; uncorrected energy = -25.92 eV per formula unit
1.0
3.679 0.000 0.000
0.000 3.679 0.000
0.000 0.000 18.358
Dy Mg Hg
4 1 5
Cartesian
0.000 0.000 1.893
0.000 0.000 5.658
0.000 0.000 12.700
0.000 0.000 16.465
0.000 0.000 9.179
1.839 1.839 0.000
1.839 1.839 3.747
1.839 1.839 7.508
1.839 1.839 10.851
1.839 1.839 14.611



Record 10
LiIn4Pb4 PBE optimized geometry; calculated formation energy = -0.0337 eV/atom; space group = I4/m, No. 87; theoretical density = 8.54 g/cm³; uncorrected energy = -28.00 eV per formula unit
1.0
-5.100 5.100 2.420
5.100 -5.100 2.420
5.100 5.100 -2.420
Li In Pb
1 4 4
Cartesian
0.000 0.000 0.000
3.472 3.467 0.000
1.633 -1.628 2.420
3.467 6.728 0.000
1.628 1.633 2.420
3.288 0.007 0.000
5.093 -1.812 2.420
0.007 6.911 0.000
1.812 5.093 2.420



Record 11
RbTe2IN PBE optimized geometry; ΔE_f (raw) = 1403 meV/atom; space group = P4/mmm, No. 123; theoretical density = 2.86 g/cm³; uncorrected energy = -10.11 eV per formula unit; excess energy over the best structure of this formula in the dataset = 5.95 eV/f.u.
1.0
7.058 0.000 0.000
0.000 7.058 0.000
0.000 0.000 5.619
Rb Te I N
1 2 1 1
Cartesian
0.000 0.000 0.000
0.000 3.529 0.000
3.529 0.000 0.000
3.529 3.529 2.809
0.000 0.000 2.809



Record 12
Ta2TlIn PBE optimized geometry; calculated formation energy = 0.4388 eV/atom; space group = Cmmm, No. 65; theoretical density = 13.96 g/cm³; uncorrected energy = -27.05 eV per formula unit; excess energy over the best structure of this formula in the dataset = 0.46 eV/f.u.
1.0
1.799 -2.371 0.000
1.799 2.371 0.000
0.000 0.000 9.504
Ta Tl In
2 1 1
Cartesian
0.000 0.000 2.344
0.000 0.000 7.160
1.799 0.000 4.752
1.799 0.000 0.000



Copy entry 11 word for word.
RbTe2IN PBE optimized geometry; ΔE_f (raw) = 1403 meV/atom; space group = P4/mmm, No. 123; theoretical density = 2.86 g/cm³; uncorrected energy = -10.11 eV per formula unit; excess energy over the best structure of this formula in the dataset = 5.95 eV/f.u.
1.0
7.058 0.000 0.000
0.000 7.058 0.000
0.000 0.000 5.619
Rb Te I N
1 2 1 1
Cartesian
0.000 0.000 0.000
0.000 3.529 0.000
3.529 0.000 0.000
3.529 3.529 2.809
0.000 0.000 2.809